This record from OQMD via LeMat-Bulk describes an optimized crystal structure of LaNdO2. The functional is PBE-GGA.

Structure (POSCAR):
```
LaNdO2
1.0
3.588 0.000 0.000
0.000 3.588 0.000
0.000 0.000 5.069
La Nd O
1 1 2
Cartesian
0.000 0.000 0.000
1.794 1.794 2.534
1.794 1.794 0.000
0.000 0.000 2.534
```

Values from the calculation:
volume = 16.3 A^3/atom
VASP energy = -30.75 eV per formula unit
SG = No. 123